Record 1
Crystalline Re2TcCl at its relaxed geometry, computed with PBE.

Values from the calculation:
Its symmetry is I4/mmm, No. 139. The density of states at the Fermi level comes out at 3.6 states/eV/cell. The calculation puts the magnetic moment at 0.00 μB/cell. The uncorrected formation energy comes out at 121.2 kJ per mole of atoms. As for the relative energy among the computed polymorphs: 927.2 meV/atom. The calculation puts the raw total energy at -8.0208 eV/atom.

Structure (POSCAR):
```
Re2TcCl
1.0
-1.869 1.869 4.387
1.869 -1.869 4.387
1.869 1.869 -4.387
Re Tc Cl
2 1 1
direct
0.250 0.750 0.500 Re
0.750 0.250 0.500 Re
0.000 0.000 0.000 Tc
0.500 0.500 0.000 Cl
```


Record 2
Crystalline Pm6PrSm2Tm3 at its relaxed geometry, computed with PBE.

Values from the calculation:
Its symmetry is C2/m, No. 12. The density of states at the Fermi level comes out at 15.3 states/eV/cell. The calculation puts the magnetic moment at 0.00 μB/cell. The calculated formation energy is 0.02 eV/atom. The calculation puts the raw total energy at -4.6601 eV/atom.

Structure (POSCAR):
```
Pm6PrSm2Tm3
1.0
3.133 -5.427 0.000
3.133 5.427 0.000
-2.084 0.000 11.728
Pm Pr Sm Tm
6 1 2 3
direct
0.081 0.415 0.245 Pm
0.251 0.251 0.755 Pm
0.415 0.081 0.245 Pm
0.585 0.919 0.755 Pm
0.749 0.749 0.245 Pm
0.919 0.585 0.755 Pm
0.500 0.500 0.500 Pr
0.167 0.833 0.500 Sm
0.833 0.167 0.500 Sm
0.000 0.000 0.000 Tm
0.333 0.667 0.000 Tm
0.667 0.333 0.000 Tm
```


Record 3
Crystalline MnVCoNi at its relaxed geometry, computed with PBE.

Values from the calculation:
Its symmetry is Pmmm, No. 47. The density of states at the Fermi level comes out at 4.1 states/eV/cell. The calculation puts the magnetic moment at 2.06 μB/cell. The calculated formation energy is -0.16 eV/atom. As for the relative energy among the computed polymorphs: 0.0 meV/atom. The calculation puts the raw total energy at -7.9564 eV/atom.

Structure (POSCAR):
```
MnVCoNi
1.0
3.525 0.000 0.000
0.000 3.589 0.000
0.000 0.000 3.623
Mn V Co Ni
1 1 1 1
direct
0.000 0.000 0.000 Mn
0.500 0.000 0.500 V
0.000 0.500 0.500 Co
0.500 0.500 0.000 Ni
```


Record 4
Crystalline BeAs2Au2 at its relaxed geometry, computed with PBE.

Values from the calculation:
Its symmetry is I4/mmm, No. 139. The density of states at the Fermi level comes out at 2.6 states/eV/cell. The calculation puts the magnetic moment at 0.00 μB/cell. The calculated formation energy is 0.59 eV/atom. As for the relative energy among the computed polymorphs: 454.5 meV/atom. The calculation puts the raw total energy at -3.3276 eV/atom.

Structure (POSCAR):
```
BeAs2Au2
1.0
-1.896 1.896 6.852
1.896 -1.896 6.852
1.896 1.896 -6.852
Be As Au
1 2 2
direct
0.000 0.000 0.000 Be
0.409 0.409 0.000 As
0.591 0.591 0.000 As
0.250 0.750 0.500 Au
0.750 0.250 0.500 Au
```


Record 5
Crystalline ZrTe2Mo at its relaxed geometry, computed with PBE.

Values from the calculation:
Its symmetry is Imm2, No. 44. The density of states at the Fermi level comes out at 3.0 states/eV/cell. The calculation puts the magnetic moment at 0.02 μB/cell. The uncorrected formation energy comes out at -5.1 kJ per mole of atoms. As for the relative energy among the computed polymorphs: 263.1 meV/atom. The calculation puts the raw total energy at -6.4687 eV/atom.

Structure (POSCAR):
```
ZrTe2Mo
1.0
-1.709 2.391 5.393
1.709 -2.391 5.393
1.709 2.391 -5.393
Zr Te Mo
1 2 1
direct
0.000 0.000 0.000 Zr
0.479 0.479 0.000 Te
0.764 0.264 0.500 Te
0.281 0.781 0.500 Mo
```


Record 6
Crystalline Mg2BeAs at its relaxed geometry, computed with PBE.

Values from the calculation:
Its symmetry is C2/m, No. 12. The density of states at the Fermi level comes out at 1.2 states/eV/cell. The calculation puts the magnetic moment at 0.00 μB/cell. The calculated formation energy is 0.17 eV/atom. As for the relative energy among the computed polymorphs: 345.5 meV/atom. The calculation puts the raw total energy at -2.7227 eV/atom.

Structure (POSCAR):
```
Mg2BeAs
1.0
4.351 -1.531 0.000
4.351 1.531 0.000
-1.142 0.000 5.357
Mg Be As
2 1 1
direct
0.244 0.244 0.225 Mg
0.756 0.756 0.775 Mg
0.500 0.500 0.000 Be
0.000 0.000 0.500 As
```


Record 7
Crystalline Nd5SmGa6 at its relaxed geometry, computed with PBE.

Values from the calculation:
Its symmetry is Cmmm, No. 65. The density of states at the Fermi level comes out at 5.5 states/eV/cell. The calculation puts the magnetic moment at 0.00 μB/cell. The calculated formation energy is -0.56 eV/atom. The calculation puts the raw total energy at -4.4509 eV/atom.

Structure (POSCAR):
```
Nd5SmGa6
1.0
2.607 -7.830 0.000
2.607 7.830 0.000
0.000 0.000 7.375
Nd Sm Ga
5 1 6
direct
0.000 0.000 0.000 Nd
0.332 0.668 0.000 Nd
0.334 0.666 0.500 Nd
0.666 0.334 0.500 Nd
0.668 0.332 0.000 Nd
0.000 0.000 0.500 Sm
0.166 0.834 0.252 Ga
0.166 0.834 0.748 Ga
0.500 0.500 0.252 Ga
0.500 0.500 0.748 Ga
0.834 0.166 0.252 Ga
0.834 0.166 0.748 Ga
```


Record 8
Crystalline K4Rb2InSn2 at its relaxed geometry, computed with PBE.

Values from the calculation:
Its symmetry is C2/m, No. 12. The density of states at the Fermi level comes out at 3.4 states/eV/cell. The calculation puts the magnetic moment at 0.89 μB/cell. The calculated formation energy is -0.11 eV/atom. The calculation puts the raw total energy at -2.0049 eV/atom.

Structure (POSCAR):
```
K4Rb2InSn2
1.0
8.009 -4.369 0.000
8.009 4.369 0.000
-1.935 0.000 6.004
K Rb In Sn
4 2 1 2
direct
0.088 0.646 0.834 K
0.354 0.912 0.166 K
0.646 0.088 0.834 K
0.912 0.354 0.166 K
0.358 0.358 0.324 Rb
0.642 0.642 0.676 Rb
0.000 0.000 0.500 In
0.181 0.181 0.706 Sn
0.819 0.819 0.294 Sn
```


Record 9
Crystalline Te2IrNO at its relaxed geometry, computed with PBE.

Values from the calculation:
Its symmetry is P4/mmm, No. 123. The density of states at the Fermi level comes out at 4.9 states/eV/cell. The calculation puts the magnetic moment at 0.91 μB/cell. The uncorrected formation energy comes out at 73.3 kJ per mole of atoms. As for the relative energy among the computed polymorphs: 0.0 meV/atom. The calculation puts the raw total energy at -4.9256 eV/atom.

Structure (POSCAR):
```
Te2IrNO
1.0
5.427 0.000 0.000
0.000 5.427 0.000
0.000 0.000 3.614
Te Ir N O
2 1 1 1
direct
0.000 0.500 0.000 Te
0.500 0.000 0.000 Te
0.000 0.000 0.000 Ir
0.000 0.000 0.500 N
0.500 0.500 0.500 O
```


Record 10
Crystalline NdSi2Ir2Pt at its relaxed geometry, computed with PBE.

Values from the calculation:
Its symmetry is P4/mmm, No. 123. The density of states at the Fermi level comes out at 3.6 states/eV/cell. The calculation puts the magnetic moment at 0.00 μB/cell. The uncorrected formation energy comes out at -28.0 kJ per mole of atoms. The calculation puts the raw total energy at -6.8533 eV/atom.

Structure (POSCAR):
```
NdSi2Ir2Pt
1.0
4.529 0.000 0.000
0.000 4.529 0.000
0.000 0.000 5.565
Nd Si Ir Pt
1 2 2 1
direct
0.000 0.000 0.000 Nd
0.000 0.500 0.500 Si
0.500 0.000 0.500 Si
0.500 0.500 0.240 Ir
0.500 0.500 0.760 Ir
0.000 0.000 0.500 Pt
```


Record 11
Crystalline Zr2CrAg at its relaxed geometry, computed with PBE.

Values from the calculation:
Its symmetry is P4/mmm, No. 123. The density of states at the Fermi level comes out at 4.3 states/eV/cell. The calculation puts the magnetic moment at 1.66 μB/cell. The calculated formation energy is 0.15 eV/atom. As for the relative energy among the computed polymorphs: 121.6 meV/atom. The calculation puts the raw total energy at -7.2408 eV/atom.

Structure (POSCAR):
```
Zr2CrAg
1.0
4.872 0.000 0.000
0.000 4.872 0.000
0.000 0.000 3.231
Zr Cr Ag
2 1 1
direct
0.000 0.500 0.000 Zr
0.500 0.000 0.000 Zr
0.000 0.000 0.500 Cr
0.500 0.500 0.500 Ag
```


Record 12
Crystalline Tm3ScCd4 at its relaxed geometry, computed with PBE.

Values from the calculation:
Its symmetry is P4/mmm, No. 123. The density of states at the Fermi level comes out at 6.8 states/eV/cell. The calculation puts the magnetic moment at 0.00 μB/cell. The calculated formation energy is -0.30 eV/atom. The calculation puts the raw total energy at -3.2284 eV/atom.

Structure (POSCAR):
```
Tm3ScCd4
1.0
3.652 0.000 0.000
0.000 3.652 0.000
0.000 0.000 14.663
Tm Sc Cd
3 1 4
direct
0.000 0.000 0.000 Tm
0.000 0.000 0.255 Tm
0.000 0.000 0.745 Tm
0.000 0.000 0.500 Sc
0.500 0.500 0.128 Cd
0.500 0.500 0.385 Cd
0.500 0.500 0.615 Cd
0.500 0.500 0.872 Cd
```


Question: Look up the raw total energy of the fifth one.
Answer: -6.4687 eV/atom